# NbIr2Pt

A geometry-optimized NbIr2Pt structure (GGA-PBE, the Alexandria database).

a b c (Å): 5.5599 5.5599 12.0383
angles (deg): 90.00 90.00 90.00
Fractional coordinates of all 16 atoms:
Nb  0.0000  0.0000  0.0000
Nb  0.0000  0.5000  0.2500
Nb  0.5000  0.0000  0.7500
Nb  0.5000  0.5000  0.5000
Ir  0.2418  0.2500  0.6250
Ir  0.2500  0.7418  0.8750
Ir  0.2500  0.7582  0.3750
Ir  0.2582  0.2500  0.1250
Ir  0.7418  0.7500  0.1250
Ir  0.7500  0.2418  0.3750
Ir  0.7500  0.2582  0.8750
Ir  0.7582  0.7500  0.6250
Pt  0.0000  0.0000  0.5000
Pt  0.0000  0.5000  0.7500
Pt  0.5000  0.0000  0.2500
Pt  0.5000  0.5000  0.0000

- Magnetization: 0.00 μB/f.u.
- Crystal system: tetragonal
- Formation enthalpy at 0 K: 2.7 eV/f.u.
- Space-group type: No. 122